No. 1
AlTe2Os | the Alexandria database | GGA-PBE | relaxed; symmetry = I4/mmm, No. 139; calculated total energy = -4.693 eV/atom; magnetic moment = 0.000 Bohr magnetons per cell
1.0
-2.749 2.749 2.949
2.749 -2.749 2.949
2.749 2.749 -2.949
Al Te Os
1 2 1
Cartesian
0.000 0.000 0.000
2.749 0.000 0.000
0.000 2.749 0.000
0.000 0.000 2.949

=====

No. 2
SiIN2Cl | the Alexandria database | GGA-PBE | relaxed; symmetry = P4/mmm, No. 123; relative energy among the computed polymorphs = 0 meV per atom; calculated total energy = -4.205 eV/atom; magnetic moment = 0.000 Bohr magnetons per cell
1.0
3.664 0.000 0.000
0.000 3.664 0.000
0.000 0.000 6.761
Si I N Cl
1 1 2 1
Cartesian
0.000 0.000 0.000
0.000 0.000 3.380
0.000 1.832 0.000
1.832 0.000 0.000
1.832 1.832 3.380

=====

No. 3
Tb3DyHo | the Alexandria database | GGA-PBE | relaxed; symmetry = P2_1/m, No. 11; relative energy among the computed polymorphs = 303 meV per atom; calculated total energy = -4.300 eV/atom; energy of formation from the pure elements = 0.314 eV per atom; magnetic moment = 0.000 Bohr magnetons per cell
1.0
3.594 0.000 0.000
0.000 11.557 0.000
-1.784 0.000 8.261
Tb Dy Ho
6 2 2
Cartesian
0.008 0.006 2.500
0.008 5.772 2.500
0.008 2.889 5.226
1.802 8.668 3.035
1.801 5.785 5.761
1.801 11.551 5.761
-0.003 8.668 0.189
1.813 2.889 8.072
0.005 8.668 5.694
1.805 2.889 2.567